First-principles (PBE) data for a geometry-optimized CsLaAlMo2 structure, as listed in Alexandria via LeMat-Bulk.

## Properties
Its crystal system is tetragonal. The total energy is -4.362 eV/atom.

Unit cell a=5.0411 b=6.1642 c=5.0411 alpha=90.00 beta=90.00 gamma=90.00
Each line ends with the local moment (μB).
Fractional coordinates of all 5 atoms:
Cs (0.5000, 0.5000, 0.5000)  0.02
Mo (0.0000, 0.0000, 0.5000)  1.21
Mo (0.5000, 0.0000, 0.0000)  1.52
Al (0.0000, 0.5000, 0.0000)  -0.03
La (0.0000, 0.0000, 0.0000)  -0.01



First-principles (PBE) data for a geometry-optimized LaTbIr structure, as listed in Alexandria via LeMat-Bulk.

## Properties
Its crystal system is monoclinic. The value obtained for the excess energy over the best structure of this formula in the dataset is 0.0 meV/atom.

Unit cell a=4.7364 b=5.1275 c=7.4303 alpha=109.96 beta=90.00 gamma=90.00
Fractional coordinates of all 6 atoms:
La (0.8136, 0.8977, 0.4920)
La (0.3136, 0.3356, 0.3472)
Tb (0.8136, 0.3955, 0.9489)
Tb (0.3136, 0.8372, 0.8903)
Ir (0.8136, 0.0131, 0.1420)
Ir (0.3136, 0.2197, 0.6972)



First-principles (PBE) data for a geometry-optimized AgB4Pd3O12 structure, as listed in Alexandria via LeMat-Bulk.

## Properties
Its crystal system is trigonal. The uncorrected formation energy comes out at -1.2421 eV per atom.

Unit cell a=6.1925 b=6.1925 c=6.1925 alpha=103.11 beta=103.11 gamma=103.11
Fractional coordinates of all 20 atoms:
Ag (0.0000, 0.0000, 0.0000)
B (0.9441, 0.0559, 0.5000)
B (0.0559, 0.5000, 0.9441)
B (0.5000, 0.9441, 0.0559)
B (0.5000, 0.5000, 0.5000)
Pd (0.5501, 0.4499, 0.0000)
Pd (0.4499, 0.0000, 0.5501)
Pd (0.0000, 0.5501, 0.4499)
O (0.5000, 0.3576, 0.6424)
O (0.9105, 0.5000, 0.0895)
O (0.0895, 0.9105, 0.5000)
O (0.5000, 0.0895, 0.9105)
O (0.3748, 0.9789, 0.2098)
O (0.2098, 0.3748, 0.9789)
O (0.9789, 0.2098, 0.3748)
O (0.6252, 0.7902, 0.0211)
O (0.0211, 0.6252, 0.7902)
O (0.7902, 0.0211, 0.6252)
O (0.6424, 0.5000, 0.3576)
O (0.3576, 0.6424, 0.5000)



First-principles (PBE) data for a geometry-optimized LiHf2S4 structure, as listed in Alexandria via LeMat-Bulk.

## Properties
Its crystal system is orthorhombic. The value obtained for the excess energy over the best structure of this formula in the dataset is 65.9 meV/atom. The uncorrected formation energy comes out at -1.4880 eV per atom.

Unit cell a=3.6101 b=6.2378 c=12.6520 alpha=90.00 beta=90.00 gamma=106.82
Fractional coordinates of all 14 atoms:
Li (0.6021, 0.2043, 0.7500)
Li (0.3979, 0.7957, 0.2500)
Hf (0.1319, 0.2637, 0.4312)
Hf (0.8681, 0.7363, 0.9312)
Hf (0.1319, 0.2637, 0.0688)
Hf (0.8681, 0.7363, 0.5688)
S (0.7758, 0.5517, 0.1175)
S (0.7758, 0.5517, 0.3825)
S (0.2242, 0.4483, 0.8825)
S (0.2242, 0.4483, 0.6175)
S (0.9518, 0.9036, 0.7500)
S (0.0482, 0.0964, 0.2500)
S (0.5000, 0.0000, 0.0000)
S (0.5000, 0.0000, 0.5000)



First-principles (PBE) data for a geometry-optimized Cr2ReSe structure, as listed in Alexandria via LeMat-Bulk.

## Properties
Its crystal system is trigonal. The value obtained for the excess energy over the best structure of this formula in the dataset is 199.4 meV/atom. The uncorrected formation energy comes out at 0.3995 eV per atom.

Unit cell a=8.3531 b=8.3531 c=8.3531 alpha=19.53 beta=19.53 gamma=19.53
Fractional coordinates of all 4 atoms:
Cr (0.9994, 0.9994, 0.9994)
Cr (0.2535, 0.2535, 0.2535)
Re (0.5084, 0.5084, 0.5084)
Se (0.7386, 0.7386, 0.7386)



First-principles (PBE) data for a geometry-optimized TbAs structure, as listed in Alexandria via LeMat-Bulk.

## Properties
Its crystal system is cubic. The total energy is -6.182 eV/atom.

Unit cell a=4.1388 b=4.1388 c=4.1388 alpha=60.00 beta=60.00 gamma=60.00
Fractional coordinates of all 2 atoms:
As (0.0000, 0.0000, 0.0000)
Tb (0.5000, 0.5000, 0.5000)



First-principles (PBE) data for a geometry-optimized BaSiPI2 structure, as listed in Alexandria via LeMat-Bulk.

## Properties
Its crystal system is tetragonal. The uncorrected formation energy comes out at 0.2365 eV per atom.

Unit cell a=5.5025 b=6.3058 c=5.5025 alpha=90.00 beta=90.00 gamma=90.00
Each line ends with the local moment (μB).
Fractional coordinates of all 5 atoms:
I (0.0000, 0.0000, 0.5000)  0.04
I (0.5000, 0.0000, 0.0000)  0.03
P (0.0000, 0.0000, 0.0000)  -0.02
Si (0.5000, 0.5000, 0.5000)  0.47
Ba (0.0000, 0.5000, 0.0000)  0.05



First-principles (PBE) data for a geometry-optimized Y2Fe5SiB2 structure, as listed in Alexandria via LeMat-Bulk.

## Properties
Its crystal system is tetragonal. The uncorrected formation energy comes out at -0.2017 eV per atom.

Unit cell a=3.0864 b=8.9424 c=8.9424 alpha=90.00 beta=90.00 gamma=90.00
Each line ends with the local moment (μB).
Fractional coordinates of all 20 atoms:
Y (0.0000, 0.6780, 0.1780)  -0.18
Y (0.0000, 0.3220, 0.8220)  -0.18
Y (0.0000, 0.1780, 0.3220)  -0.18
Y (0.0000, 0.8220, 0.6780)  -0.18
Fe (0.5000, 0.2184, 0.0653)  1.16
Fe (0.5000, 0.7816, 0.9347)  1.16
Fe (0.5000, 0.0653, 0.7816)  1.16
Fe (0.5000, 0.7184, 0.4347)  1.16
Fe (0.5000, 0.9347, 0.2184)  1.16
Fe (0.5000, 0.2816, 0.5653)  1.16
Fe (0.5000, 0.5653, 0.7184)  1.16
Fe (0.5000, 0.4347, 0.2816)  1.16
Fe (0.5000, 0.5000, 0.0000)  1.02
Fe (0.5000, 0.0000, 0.5000)  1.02
Si (0.0000, 0.0000, 0.0000)  -0.04
Si (0.0000, 0.5000, 0.5000)  -0.04
B (0.0000, 0.1183, 0.6183)  -0.09
B (0.0000, 0.8817, 0.3817)  -0.09
B (0.0000, 0.6183, 0.8817)  -0.09
B (0.0000, 0.3817, 0.1183)  -0.09



Result set for total magnetic moment: 3.15 0.00 0.00 0.00 0.00 0.00 1.89 9.69 μB per cell, one per record in the order listed.